[1]
## Ac3Al5O12 (PBE)

Data for Ac3Al5O12 after structural relaxation.

## Properties
Size of the total moment in μB/cell: 0.000
Raw formation energy in eV/atom: -3.119
Symmetry: Ia-3d, No. 230
Theoretical density in g/cm³: 6.53

Cell lengths 11.002, 11.002, 11.002 Å; angles 109.47, 109.47, 109.47 degrees
Fractional positions:
1 Ac 0.125 0.250 0.375
2 Ac 0.125 0.375 0.750
3 Ac 0.250 0.375 0.125
4 Ac 0.250 0.875 0.625
5 Ac 0.375 0.125 0.250
6 Ac 0.375 0.750 0.125
7 Ac 0.625 0.250 0.875
8 Ac 0.625 0.875 0.750
9 Ac 0.750 0.125 0.375
10 Ac 0.750 0.625 0.875
11 Ac 0.875 0.625 0.250
12 Ac 0.875 0.750 0.625
13 Al 0.000 0.000 0.000
14 Al 0.000 0.000 0.500
15 Al 0.000 0.500 0.000
16 Al 0.000 0.500 0.500
17 Al 0.125 0.750 0.875
18 Al 0.125 0.875 0.250
19 Al 0.250 0.125 0.875
20 Al 0.250 0.625 0.375
21 Al 0.375 0.250 0.625
22 Al 0.375 0.625 0.750
23 Al 0.500 0.000 0.000
24 Al 0.500 0.000 0.500
25 Al 0.500 0.500 0.000
26 Al 0.500 0.500 0.500
27 Al 0.625 0.375 0.250
28 Al 0.625 0.750 0.375
29 Al 0.750 0.375 0.625
30 Al 0.750 0.875 0.125
31 Al 0.875 0.125 0.750
32 Al 0.875 0.250 0.125
33 O 0.007 0.189 0.111
34 O 0.007 0.318 0.896
35 O 0.079 0.689 0.682
36 O 0.079 0.889 0.396
37 O 0.104 0.611 0.421
38 O 0.104 0.993 0.682
39 O 0.111 0.007 0.189
40 O 0.111 0.604 0.921
41 O 0.182 0.189 0.579
42 O 0.182 0.493 0.604
43 O 0.189 0.111 0.007
44 O 0.189 0.579 0.182
45 O 0.311 0.318 0.921
46 O 0.311 0.493 0.389
47 O 0.318 0.896 0.007
48 O 0.318 0.921 0.311
49 O 0.389 0.311 0.493
50 O 0.389 0.579 0.896
51 O 0.396 0.079 0.889
52 O 0.396 0.818 0.507
53 O 0.421 0.104 0.611
54 O 0.421 0.818 0.811
55 O 0.493 0.389 0.311
56 O 0.493 0.604 0.182
57 O 0.507 0.396 0.818
58 O 0.507 0.611 0.689
59 O 0.579 0.182 0.189
60 O 0.579 0.896 0.389
61 O 0.604 0.182 0.493
62 O 0.604 0.921 0.111
63 O 0.611 0.421 0.104
64 O 0.611 0.689 0.507
65 O 0.682 0.079 0.689
66 O 0.682 0.104 0.993
67 O 0.689 0.507 0.611
68 O 0.689 0.682 0.079
69 O 0.811 0.421 0.818
70 O 0.811 0.889 0.993
71 O 0.818 0.507 0.396
72 O 0.818 0.811 0.421
73 O 0.889 0.396 0.079
74 O 0.889 0.993 0.811
75 O 0.896 0.007 0.318
76 O 0.896 0.389 0.579
77 O 0.921 0.111 0.604
78 O 0.921 0.311 0.318
79 O 0.993 0.682 0.104
80 O 0.993 0.811 0.889



[2]
## Ac2AlOsO6 (PBE)

Data for Ac2AlOsO6 after structural relaxation.

## Properties
Size of the total moment in μB/cell: 1.898
Raw formation energy in eV/atom: -2.474
Symmetry: R-3m, No. 166
Theoretical density in g/cm³: 9.93

Cell lengths 10.135, 10.135, 10.135 Å; angles 31.78, 31.78, 31.78 degrees
Fractional positions:
1 Ac 0.128 0.128 0.128
2 Ac 0.290 0.290 0.290
3 Ac 0.710 0.710 0.710
4 Ac 0.872 0.872 0.872
5 Al 0.000 0.000 0.000
6 Al 0.500 0.500 0.500
7 Os 0.412 0.412 0.412
8 Os 0.588 0.588 0.588
9 O 0.136 0.623 0.623
10 O 0.199 0.199 0.714
11 O 0.199 0.714 0.199
12 O 0.286 0.801 0.801
13 O 0.377 0.377 0.864
14 O 0.377 0.864 0.377
15 O 0.623 0.136 0.623
16 O 0.623 0.623 0.136
17 O 0.714 0.199 0.199
18 O 0.801 0.286 0.801
19 O 0.801 0.801 0.286
20 O 0.864 0.377 0.377



[3]
## AcAlOsO6 (PBE)

Data for AcAlOsO6 after structural relaxation.

## Properties
Size of the total moment in μB/cell: 2.003
Raw formation energy in eV/atom: -2.255
Symmetry: P312, No. 149
Theoretical density in g/cm³: 7.30

Cell lengths 5.139, 5.139, 5.376 Å; angles 90.00, 90.00, 120.00 degrees
Fractional positions:
1 Ac 0.000 0.000 0.000
2 Al 0.333 0.667 0.500
3 Os 0.667 0.333 0.500
4 O 0.003 0.382 0.700
5 O 0.003 0.621 0.300
6 O 0.379 0.382 0.300
7 O 0.379 0.997 0.700
8 O 0.618 0.621 0.700
9 O 0.618 0.997 0.300



[4]
## AcAl2PO8 (PBE)

Data for AcAl2PO8 after structural relaxation.

## Properties
Size of the total moment in μB/cell: 2.037
Raw formation energy in eV/atom: -2.265
Symmetry: R-3, No. 148
Theoretical density in g/cm³: 5.41

Cell lengths 7.360, 7.360, 7.360 Å; angles 37.91, 37.91, 37.91 degrees
Fractional positions:
1 Ac 0.000 0.000 0.000
2 Al 0.226 0.226 0.226
3 Al 0.774 0.774 0.774
4 P 0.500 0.500 0.500
5 O 0.169 0.753 0.435
6 O 0.247 0.565 0.831
7 O 0.314 0.314 0.314
8 O 0.435 0.169 0.753
9 O 0.565 0.831 0.247
10 O 0.686 0.686 0.686
11 O 0.753 0.435 0.169
12 O 0.831 0.247 0.565



[5]
## AcAlP2O8 (PBE)

Data for AcAlP2O8 after structural relaxation.

## Properties
Size of the total moment in μB/cell: 0.000
Raw formation energy in eV/atom: -2.827
Symmetry: C2/m, No. 12
Theoretical density in g/cm³: 4.80

Cell lengths 4.816, 4.816, 7.343 Å; angles 93.31, 93.31, 64.59 degrees
Fractional positions:
1 Ac 0.000 0.000 0.000
2 Al 0.000 0.000 0.500
3 P 0.362 0.362 0.710
4 P 0.638 0.638 0.290
5 O 0.220 0.220 0.568
6 O 0.222 0.718 0.692
7 O 0.282 0.778 0.308
8 O 0.312 0.312 0.912
9 O 0.688 0.688 0.088
10 O 0.718 0.222 0.692
11 O 0.778 0.282 0.308
12 O 0.780 0.780 0.432



[6]
## Ac2PaAlO8 (PBE)

Data for Ac2PaAlO8 after structural relaxation.

## Properties
Size of the total moment in μB/cell: 0.000
Raw formation energy in eV/atom: -2.919
Symmetry: P2/m, No. 10
Theoretical density in g/cm³: 8.30

Cell lengths 4.327, 7.009, 5.556 Å; angles 90.00, 94.16, 90.00 degrees
Fractional positions:
1 Ac 0.000 0.236 0.000
2 Ac 0.000 0.764 0.000
3 Pa 0.500 0.500 0.500
4 Al 0.500 0.000 0.500
5 O 0.059 0.500 0.270
6 O 0.089 0.000 0.392
7 O 0.461 0.229 0.729
8 O 0.461 0.771 0.729
9 O 0.539 0.229 0.271
10 O 0.539 0.771 0.271
11 O 0.911 0.000 0.608
12 O 0.941 0.500 0.730



[7]
## AcPaAlO6 (PBE)

Data for AcPaAlO6 after structural relaxation.

## Properties
Size of the total moment in μB/cell: 0.868
Raw formation energy in eV/atom: -2.892
Symmetry: P312, No. 149
Theoretical density in g/cm³: 7.47

Cell lengths 5.558, 5.558, 4.826 Å; angles 90.00, 90.00, 120.00 degrees
Fractional positions:
1 Ac 0.000 0.000 0.000
2 Pa 0.333 0.667 0.500
3 Al 0.667 0.333 0.000
4 O 0.404 0.021 0.764
5 O 0.404 0.383 0.236
6 O 0.617 0.021 0.236
7 O 0.617 0.596 0.764
8 O 0.979 0.383 0.764
9 O 0.979 0.596 0.236



[8]
## Ac4Al3PbO12 (PBE)

Data for Ac4Al3PbO12 after structural relaxation.

## Properties
Size of the total moment in μB/cell: 0.009
Raw formation energy in eV/atom: -2.829
Symmetry: Im-3m, No. 229
Theoretical density in g/cm³: 8.85

Cell lengths 6.968, 6.968, 6.968 Å; angles 109.47, 109.47, 109.47 degrees
Fractional positions:
1 Ac 0.000 0.000 0.500
2 Ac 0.000 0.500 0.000
3 Ac 0.500 0.000 0.000
4 Ac 0.500 0.500 0.500
5 Al 0.000 0.500 0.500
6 Al 0.500 0.000 0.500
7 Al 0.500 0.500 0.000
8 Pb 0.000 0.000 0.000
9 O 0.000 0.274 0.274
10 O 0.000 0.726 0.726
11 O 0.250 0.500 0.750
12 O 0.250 0.750 0.500
13 O 0.274 0.000 0.274
14 O 0.274 0.274 0.000
15 O 0.500 0.250 0.750
16 O 0.500 0.750 0.250
17 O 0.726 0.000 0.726
18 O 0.726 0.726 0.000
19 O 0.750 0.250 0.500
20 O 0.750 0.500 0.250



[9]
## AcAlPb2O8 (PBE)

Data for AcAlPb2O8 after structural relaxation.

## Properties
Size of the total moment in μB/cell: 2.054
Raw formation energy in eV/atom: -1.504
Symmetry: P2/m, No. 10
Theoretical density in g/cm³: 7.62

Cell lengths 4.910, 7.143, 4.959 Å; angles 90.00, 94.03, 90.00 degrees
Fractional positions:
1 Ac 0.000 0.000 0.000
2 Al 0.000 0.500 0.000
3 Pb 0.500 0.272 0.500
4 Pb 0.500 0.728 0.500
5 O 0.183 0.299 0.191
6 O 0.183 0.701 0.191
7 O 0.280 0.500 0.727
8 O 0.338 0.000 0.675
9 O 0.662 0.000 0.325
10 O 0.720 0.500 0.273
11 O 0.817 0.299 0.809
12 O 0.817 0.701 0.809



[10]
## AcAl2PbO6 (PBE)

Data for AcAl2PbO6 after structural relaxation.

## Properties
Size of the total moment in μB/cell: 0.000
Raw formation energy in eV/atom: -2.528
Symmetry: C2/c, No. 15
Theoretical density in g/cm³: 6.23

Cell lengths 7.048, 7.048, 7.186 Å; angles 99.72, 99.72, 113.53 degrees
Fractional positions:
1 Ac 0.092 0.908 0.750
2 Ac 0.908 0.092 0.250
3 Al 0.012 0.332 0.871
4 Al 0.332 0.012 0.371
5 Al 0.668 0.988 0.629
6 Al 0.988 0.668 0.129
7 Pb 0.450 0.550 0.250
8 Pb 0.550 0.450 0.750
9 O 0.064 0.456 0.157
10 O 0.071 0.823 0.394
11 O 0.177 0.929 0.106
12 O 0.282 0.349 0.916
13 O 0.349 0.282 0.416
14 O 0.456 0.064 0.657
15 O 0.544 0.936 0.343
16 O 0.651 0.718 0.584
17 O 0.718 0.651 0.084
18 O 0.823 0.071 0.894
19 O 0.929 0.177 0.606
20 O 0.936 0.544 0.843



[11]
## Ac3Al2PbO9 (PBE)

Data for Ac3Al2PbO9 after structural relaxation.

## Properties
Size of the total moment in μB/cell: 0.002
Raw formation energy in eV/atom: -2.733
Symmetry: P-3m1, No. 164
Theoretical density in g/cm³: 8.79

Cell lengths 5.651, 5.651, 7.419 Å; angles 90.00, 90.00, 120.00 degrees
Fractional positions:
1 Ac 0.000 0.000 0.000
2 Ac 0.333 0.667 0.715
3 Ac 0.667 0.333 0.285
4 Al 0.333 0.667 0.160
5 Al 0.667 0.333 0.840
6 Pb 0.000 0.000 0.500
7 O 0.000 0.500 0.000
8 O 0.173 0.346 0.294
9 O 0.173 0.827 0.294
10 O 0.346 0.173 0.706
11 O 0.500 0.000 0.000
12 O 0.500 0.500 0.000
13 O 0.654 0.827 0.294
14 O 0.827 0.173 0.706
15 O 0.827 0.654 0.706



[12]
## Ac4Al3PdO12 (PBE)

Data for Ac4Al3PdO12 after structural relaxation.

## Properties
Size of the total moment in μB/cell: 1.004
Raw formation energy in eV/atom: -2.867
Symmetry: Im-3m, No. 229
Theoretical density in g/cm³: 8.73

Cell lengths 6.827, 6.827, 6.827 Å; angles 109.47, 109.47, 109.47 degrees
Fractional positions:
1 Ac 0.000 0.000 0.500
2 Ac 0.000 0.500 0.000
3 Ac 0.500 0.000 0.000
4 Ac 0.500 0.500 0.500
5 Al 0.000 0.500 0.500
6 Al 0.500 0.000 0.500
7 Al 0.500 0.500 0.000
8 Pd 0.000 0.000 0.000
9 O 0.000 0.263 0.263
10 O 0.000 0.737 0.737
11 O 0.250 0.500 0.750
12 O 0.250 0.750 0.500
13 O 0.263 0.000 0.263
14 O 0.263 0.263 0.000
15 O 0.500 0.250 0.750
16 O 0.500 0.750 0.250
17 O 0.737 0.000 0.737
18 O 0.737 0.737 0.000
19 O 0.750 0.250 0.500
20 O 0.750 0.500 0.250